4
Lattice="2.816 0.000 0.000 1.408 2.439 0.000 1.408 0.813 9.027" Properties=species:S:1:pos:R:3 comment="InFeW2 | Alexandria | PBEsol | relaxed" ef_ev_per_atom=0.506 sg="R-3m, No. 166" pbc="T T T"
Fe 2.816 1.626 4.513
In 0.000 0.000 0.000
W 1.408 0.813 2.498
W 4.225 2.439 6.529

4
Lattice="4.557 0.000 0.000 2.278 3.946 0.000 2.278 1.315 3.721" Properties=species:S:1:pos:R:3 comment="In2FeW | Alexandria | PBEsol | relaxed" ef_ev_per_atom=0.761 polymorph_energy_ev_per_atom=0.488 sg="F-43m, No. 216" pbc="T T T"
Fe 4.557 2.631 1.860
In 0.000 0.000 0.000
In 2.278 1.315 0.930
W 6.835 3.946 2.791

no.,M_tot (μB/f.u.),VASP energy (eV/atom)
1,0.976,-9.3843
2,1.880,-6.4232